1.
The following is a GGA-PBE calculation of a relaxed structure of In2GaBr, from Alexandria via LeMat-Bulk.

```
data_In2GaBr
_chemical_formula_sum 'In2 Ga1 Br1'
_cell_length_a 8.234
_cell_length_b 8.234
_cell_length_c 8.234
_cell_angle_alpha 28.56
_cell_angle_beta 28.56
_cell_angle_gamma 28.56
_symmetry_space_group_name_H-M 'P 1'
_symmetry_Int_Tables_number 1
_symmetry_space_group_name_Hall 'P 1'
loop_
_atom_site_label
_atom_site_fract_x
_atom_site_fract_y
_atom_site_fract_z
In1 0.240 0.240 0.240
In2 0.760 0.760 0.760
Ga1 0.500 0.500 0.500
Br1 0.000 0.000 0.000
```

Properties
The value obtained for the energy relative to the lowest polymorph listed for this composition is 59 meV per atom. Its density of states at the Fermi level is 0.480 states/eV/atom. The symmetry is R-3m. Its size of the total moment is 0.000 μB per formula unit. For the raw formation energy, the calculation gives -0.14 eV/atom.

=====

2.
The following is a GGA-PBE calculation of a relaxed structure of InGaBr, from Alexandria via LeMat-Bulk.

```
data_InGaBr
_chemical_formula_sum 'In2 Ga2 Br2'
_cell_length_a 5.229
_cell_length_b 5.917
_cell_length_c 5.917
_cell_angle_alpha 106.62
_cell_angle_beta 90.00
_cell_angle_gamma 90.00
_symmetry_space_group_name_H-M 'P 1'
_symmetry_Int_Tables_number 1
_symmetry_space_group_name_Hall 'P 1'
loop_
_atom_site_label
_atom_site_fract_x
_atom_site_fract_y
_atom_site_fract_z
In1 0.000 0.214 0.786
In2 0.000 0.786 0.214
Ga1 0.000 0.302 0.302
Ga2 0.500 0.392 0.392
Br1 0.500 0.520 0.891
Br2 0.500 0.891 0.520
```

Properties
The value obtained for the energy relative to the lowest polymorph listed for this composition is 16 meV per atom. Its density of states at the Fermi level is 0.249 states/eV/atom. The symmetry is Amm2. Its size of the total moment is 0.000 μB per formula unit. For the raw formation energy, the calculation gives -0.29 eV/atom.

=====

3.
The following is a GGA-PBE calculation of a relaxed structure of InGaBr, from Alexandria via LeMat-Bulk.

```
data_InGaBr
_chemical_formula_sum 'In2 Ga2 Br2'
_cell_length_a 3.782
_cell_length_b 7.287
_cell_length_c 7.665
_cell_angle_alpha 113.04
_cell_angle_beta 91.97
_cell_angle_gamma 98.78
_symmetry_space_group_name_H-M 'P 1'
_symmetry_Int_Tables_number 1
_symmetry_space_group_name_Hall 'P 1'
loop_
_atom_site_label
_atom_site_fract_x
_atom_site_fract_y
_atom_site_fract_z
In1 0.000 0.000 0.000
In2 0.187 0.619 0.026
Ga1 0.598 0.315 0.030
Ga2 0.684 0.481 0.398
Br1 0.161 0.387 0.597
Br2 0.832 0.856 0.588
```

Properties
The value obtained for the energy relative to the lowest polymorph listed for this composition is 14 meV per atom. Its density of states at the Fermi level is 0.105 states/eV/atom. The symmetry is P1. Its size of the total moment is 0.000 μB per formula unit. For the raw formation energy, the calculation gives -0.29 eV/atom.

=====

4.
The following is a GGA-PBE calculation of a relaxed structure of InGaBr4, from Alexandria via LeMat-Bulk.

```
data_InGaBr4
_chemical_formula_sum 'In2 Ga2 Br8'
_cell_length_a 8.643
_cell_length_b 8.643
_cell_length_c 8.643
_cell_angle_alpha 104.01
_cell_angle_beta 104.01
_cell_angle_gamma 121.05
_symmetry_space_group_name_H-M 'P 1'
_symmetry_Int_Tables_number 1
_symmetry_space_group_name_Hall 'P 1'
loop_
_atom_site_label
_atom_site_fract_x
_atom_site_fract_y
_atom_site_fract_z
In1 0.375 0.625 0.750
In2 0.625 0.375 0.250
Ga1 0.125 0.875 0.250
Ga2 0.875 0.125 0.750
Br1 0.135 0.707 0.428
Br2 0.221 0.293 0.928
Br3 0.293 0.221 0.428
Br4 0.293 0.865 0.072
Br5 0.707 0.135 0.928
Br6 0.707 0.779 0.572
Br7 0.779 0.707 0.072
Br8 0.865 0.293 0.572
```

Properties
The value obtained for the energy relative to the lowest polymorph listed for this composition is 18 meV per atom. Its density of states at the Fermi level is 0.000 states/eV/atom. The symmetry is I4_1/amd. Its size of the total moment is 0.000 μB per formula unit. For the raw formation energy, the calculation gives -0.79 eV/atom.

=====

5.
The following is a GGA-PBE calculation of a relaxed structure of In3GaBr4, from Alexandria via LeMat-Bulk.

```
data_In3GaBr4
_chemical_formula_sum 'In6 Ga2 Br8'
_cell_length_a 13.146
_cell_length_b 6.706
_cell_length_c 6.606
_cell_angle_alpha 90.00
_cell_angle_beta 90.00
_cell_angle_gamma 90.00
_symmetry_space_group_name_H-M 'P 1'
_symmetry_Int_Tables_number 1
_symmetry_space_group_name_Hall 'P 1'
loop_
_atom_site_label
_atom_site_fract_x
_atom_site_fract_y
_atom_site_fract_z
In1 0.000 0.245 0.000
In2 0.249 0.755 0.998
In3 0.251 0.245 0.498
In4 0.500 0.755 0.500
In5 0.749 0.245 0.498
In6 0.751 0.755 0.998
Ga1 0.000 0.724 0.487
Ga2 0.500 0.276 0.987
Br1 0.000 0.294 0.501
Br2 0.000 0.716 0.029
Br3 0.244 0.720 0.496
Br4 0.256 0.280 0.996
Br5 0.500 0.284 0.529
Br6 0.500 0.706 0.001
Br7 0.744 0.280 0.996
Br8 0.756 0.720 0.496
```

Properties
Its density of states at the Fermi level is 0.000 states/eV/atom. The symmetry is Pmn2_1. Its size of the total moment is 0.000 μB per formula unit. For the raw formation energy, the calculation gives -0.61 eV/atom.

=====

6.
The following is a GGA-PBE calculation of a relaxed structure of InGa3Br, from Alexandria via LeMat-Bulk.

```
data_InGa3Br
_chemical_formula_sum 'In1 Ga3 Br1'
_cell_length_a 5.404
_cell_length_b 5.404
_cell_length_c 5.404
_cell_angle_alpha 90.00
_cell_angle_beta 90.00
_cell_angle_gamma 90.00
_symmetry_space_group_name_H-M 'P 1'
_symmetry_Int_Tables_number 1
_symmetry_space_group_name_Hall 'P 1'
loop_
_atom_site_label
_atom_site_fract_x
_atom_site_fract_y
_atom_site_fract_z
In1 0.000 0.000 0.000
Ga1 0.000 0.000 0.500
Ga2 0.000 0.500 0.000
Ga3 0.500 0.000 0.000
Br1 0.500 0.500 0.500
```

Properties
The value obtained for the energy relative to the lowest polymorph listed for this composition is 0 meV per atom. Its density of states at the Fermi level is 0.546 states/eV/atom. The symmetry is Pm-3m. Its size of the total moment is 0.000 μB per formula unit. For the raw formation energy, the calculation gives 0.21 eV/atom.

=====

7.
The following is a GGA-PBE calculation of a relaxed structure of InGaBr4, from Alexandria via LeMat-Bulk.

```
data_InGaBr4
_chemical_formula_sum 'In2 Ga2 Br8'
_cell_length_a 6.940
_cell_length_b 6.940
_cell_length_c 10.577
_cell_angle_alpha 97.40
_cell_angle_beta 97.40
_cell_angle_gamma 76.08
_symmetry_space_group_name_H-M 'P 1'
_symmetry_Int_Tables_number 1
_symmetry_space_group_name_Hall 'P 1'
loop_
_atom_site_label
_atom_site_fract_x
_atom_site_fract_y
_atom_site_fract_z
In1 0.000 0.500 0.000
In2 0.500 0.000 0.500
Ga1 0.150 0.850 0.750
Ga2 0.850 0.150 0.250
Br1 0.171 0.184 0.738
Br2 0.184 0.171 0.238
Br3 0.270 0.658 0.564
Br4 0.342 0.730 0.936
Br5 0.658 0.270 0.064
Br6 0.730 0.342 0.436
Br7 0.816 0.829 0.762
Br8 0.829 0.816 0.262
```

Properties
The value obtained for the energy relative to the lowest polymorph listed for this composition is 10 meV per atom. Its density of states at the Fermi level is 0.000 states/eV/atom. The symmetry is C2/c. Its size of the total moment is 0.000 μB per formula unit. For the raw formation energy, the calculation gives -0.80 eV/atom.

=====

8.
The following is a GGA-PBE calculation of a relaxed structure of InGa2Br6, from Alexandria via LeMat-Bulk.

```
data_InGa2Br6
_chemical_formula_sum 'In2 Ga4 Br12'
_cell_length_a 10.183
_cell_length_b 10.183
_cell_length_c 8.228
_cell_angle_alpha 105.84
_cell_angle_beta 105.84
_cell_angle_gamma 83.97
_symmetry_space_group_name_H-M 'P 1'
_symmetry_Int_Tables_number 1
_symmetry_space_group_name_Hall 'P 1'
loop_
_atom_site_label
_atom_site_fract_x
_atom_site_fract_y
_atom_site_fract_z
In1 0.132 0.868 0.750
In2 0.868 0.132 0.250
Ga1 0.199 0.370 0.783
Ga2 0.370 0.199 0.283
Ga3 0.630 0.801 0.717
Ga4 0.801 0.630 0.217
Br1 0.045 0.184 0.672
Br2 0.068 0.581 0.813
Br3 0.184 0.045 0.172
Br4 0.348 0.351 0.575
Br5 0.351 0.348 0.075
Br6 0.419 0.932 0.687
Br7 0.581 0.068 0.313
Br8 0.649 0.652 0.925
Br9 0.652 0.649 0.425
Br10 0.816 0.955 0.828
Br11 0.932 0.419 0.187
Br12 0.955 0.816 0.328
```

Properties
Its density of states at the Fermi level is 0.341 states/eV/atom. The symmetry is C2/c. Its size of the total moment is 0.000 μB per formula unit. For the raw formation energy, the calculation gives -0.68 eV/atom.

=====

Please write out number 1 again, unchanged.
The following is a GGA-PBE calculation of a relaxed structure of In2GaBr, from Alexandria via LeMat-Bulk.

```
data_In2GaBr
_chemical_formula_sum 'In2 Ga1 Br1'
_cell_length_a 8.234
_cell_length_b 8.234
_cell_length_c 8.234
_cell_angle_alpha 28.56
_cell_angle_beta 28.56
_cell_angle_gamma 28.56
_symmetry_space_group_name_H-M 'P 1'
_symmetry_Int_Tables_number 1
_symmetry_space_group_name_Hall 'P 1'
loop_
_atom_site_label
_atom_site_fract_x
_atom_site_fract_y
_atom_site_fract_z
In1 0.240 0.240 0.240
In2 0.760 0.760 0.760
Ga1 0.500 0.500 0.500
Br1 0.000 0.000 0.000
```

Properties
The value obtained for the energy relative to the lowest polymorph listed for this composition is 59 meV per atom. Its density of states at the Fermi level is 0.480 states/eV/atom. The symmetry is R-3m. Its size of the total moment is 0.000 μB per formula unit. For the raw formation energy, the calculation gives -0.14 eV/atom.